# 1
This record from Alexandria describes crystalline Ti4MnRu5 at its relaxed geometry. The functional is PBE-GGA.

As for the magnetization: 3.7 μB/f.u. For the calculated formation energy, the calculation gives -0.590 eV per atom. Its symmetry is P4/mmm, No. 123. The calculation puts the total energy at -9.3028 eV per atom. For the calculated density, the calculation gives 8.61 g cm⁻³.

Cell: 3.079 3.079 15.290 Å, 90.00 90.00 90.00°
Site moments in Bohr magnetons follow the coordinates.
Fractional positions:
Ti: 0.000 0.000 0.195  0.04
Ti: 0.000 0.000 0.398  0.00
Ti: 0.000 0.000 0.602  0.00
Ti: 0.000 0.000 0.805  0.04
Mn: 0.000 0.000 0.000  3.39
Ru: 0.500 0.500 0.100  0.08
Ru: 0.500 0.500 0.299  -0.02
Ru: 0.500 0.500 0.500  0.00
Ru: 0.500 0.500 0.701  -0.02
Ru: 0.500 0.500 0.900  0.08

=====

# 2
This record from Alexandria describes crystalline Fe4Os5 at its relaxed geometry. The functional is PBE-GGA.

As for the magnetization: 6.1 μB/f.u. For the calculated formation energy, the calculation gives 0.155 eV per atom. Its symmetry is I4/mmm, No. 139. Its offset from the most stable computed form is 0 meV per atom. The calculation puts the total energy at -9.8448 eV per atom. For the calculated density, the calculation gives 16.54 g cm⁻³.

Cell: 5.911 5.911 5.911 Å, 95.78 95.78 142.98°
Site moments in Bohr magnetons follow the coordinates.
Fractional positions:
Fe: 0.000 0.667 0.667  1.79
Fe: 0.000 0.333 0.333  1.79
Fe: 0.333 0.000 0.333  1.79
Fe: 0.667 0.000 0.667  1.79
Os: 0.000 0.000 0.000  -0.24
Os: 0.331 0.669 0.000  -0.20
Os: 0.669 0.331 0.000  -0.20
Os: 0.331 0.331 0.663  -0.20
Os: 0.669 0.669 0.337  -0.20